First-principles (GGA-PBE) data for a relaxed structure of Cs3MnCd2Br9, as listed in the Alexandria database.

Unit cell a=7.8503 b=7.8503 c=9.6154 alpha=90.00 beta=90.00 gamma=120.00
With the nearest neighbours (Å) after each atom.
Sites, in units of the cell vectors:
Cd  0.6667  0.3333  0.8273  6 Br 2.81-2.82
Cd  0.3333  0.6667  0.1727  6 Br 2.81-2.82
Br  0.8375  0.1625  0.6612  1 Mn 2.70, 1 Cd 2.82
Br  0.1625  0.8375  0.3388  1 Mn 2.70, 1 Cd 2.82
Br  0.6749  0.8375  0.3388  1 Mn 2.70, 1 Cd 2.82
Br  0.5000  0.0000  0.0000  2 Cd 2.81
Br  0.1625  0.3251  0.3388  1 Mn 2.70, 1 Cd 2.82
Br  0.8375  0.6749  0.6612  1 Mn 2.70, 1 Cd 2.82
Br  0.5000  0.5000  0.0000  2 Cd 2.81
Br  0.3251  0.1625  0.6612  1 Mn 2.70, 1 Cd 2.82
Br  0.0000  0.5000  0.0000  2 Cd 2.81
Cs  0.3333  0.6667  0.6680  12 Br 3.91-3.93
Cs  0.0000  0.0000  0.0000  12 Br 3.93-3.94
Cs  0.6667  0.3333  0.3320  12 Br 3.91-3.93
Mn  0.0000  0.0000  0.5000  6 Br 2.70

Values from the calculation:
ΔE_f (raw) in meV/atom: -1219
Spin magnetization in μB per atom: 0.33
Space group: P-3m1